Here is an optimized crystal structure of TcPb2Br from Alexandria via LeMat-Bulk. Energies are from GGA-PBE.

The structure in POSCAR format:
```
TcPb2Br
1.0
5.633 0.003 0.000
1.620 5.394 0.000
-3.626 -2.699 3.360
Pb Tc Br
2 1 1
Direct
0.000 0.000 0.000
0.500 0.500 0.000
0.250 0.750 0.500
0.750 0.250 0.500
```

Raw formation energy in meV per atom: 668
ΔE to the lowest computed polymorph in meV/atom: 381
Space-group type: I4/mmm, No. 139

***

Here is an optimized crystal structure of Co2Pt2W from Alexandria via LeMat-Bulk. Energies are from GGA-PBE.

The structure in POSCAR format:
```
Co2Pt2W
1.0
-2.171 -3.612 -1.005
-1.756 -2.672 4.056
-6.143 3.125 2.037
Co Pt W
4 4 2
Direct
0.633 0.735 0.589
0.533 0.933 0.860
0.367 0.265 0.411
0.467 0.067 0.140
0.065 0.871 0.354
0.830 0.340 0.963
0.935 0.129 0.646
0.170 0.660 0.037
0.261 0.479 0.714
0.739 0.521 0.286
```

Energy relative to the elements in kcal/mol of atoms: -1.12
ΔE to the lowest computed polymorph in meV/atom: 0
Space-group type: C2/m, No. 12

***

Here is an optimized crystal structure of RbYPb from Alexandria via LeMat-Bulk. Energies are from GGA-PBE.

The structure in POSCAR format:
```
RbYPb
1.0
-0.717 3.601 -1.228
-8.327 -5.748 0.157
-1.469 3.766 5.772
Y Pb Rb
2 2 2
Direct
0.700 0.641 0.636
0.917 0.577 0.076
0.111 0.427 0.388
0.320 0.870 0.851
0.708 0.989 0.305
0.199 0.223 0.802
```

Energy relative to the elements in kcal/mol of atoms: -2.28
ΔE to the lowest computed polymorph in meV/atom: 187
Space-group type: P1, No. 1

***

Here is an optimized crystal structure of CdIr4Cl from Alexandria via LeMat-Bulk. Energies are from GGA-PBE.

The structure in POSCAR format:
```
CdIr4Cl
1.0
-2.716 -4.396 1.283
0.651 -2.228 4.792
-3.913 0.245 3.603
Cd Ir Cl
1 4 1
Direct
0.750 0.750 0.750
0.875 0.375 0.375
0.375 0.375 0.875
0.375 0.875 0.375
0.375 0.375 0.375
0.000 0.000 0.000
```

Raw formation energy in meV per atom: 845
Space-group type: F-43m, No. 216

***

Here is an optimized crystal structure of Y2Ag2Sb from Alexandria via LeMat-Bulk. Energies are from GGA-PBE.

The structure in POSCAR format:
```
Y2Ag2Sb
1.0
7.622 0.000 0.000
0.000 7.622 0.000
0.000 0.000 4.205
Y Sb Ag
4 2 4
Direct
0.171 0.671 0.500
0.671 0.829 0.500
0.829 0.329 0.500
0.329 0.171 0.500
0.000 0.000 0.000
0.500 0.500 0.000
0.373 0.873 0.000
0.873 0.627 0.000
0.627 0.127 0.000
0.127 0.373 0.000
```

Raw formation energy in meV per atom: -486
ΔE to the lowest computed polymorph in meV/atom: 0
Space-group type: P4/mbm, No. 127

***

Here is an optimized crystal structure of ZnRe2Hg from Alexandria via LeMat-Bulk. Energies are from GGA-PBE.

The structure in POSCAR format:
```
ZnRe2Hg
1.0
4.758 0.000 0.000
0.000 2.771 0.033
0.000 0.216 5.031
Hg Re Zn
1 2 1
Direct
0.500 0.750 0.750
0.000 0.937 0.021
0.000 0.563 0.479
0.500 0.250 0.250
```

Energy relative to the elements in kcal/mol of atoms: 14.98
ΔE to the lowest computed polymorph in meV/atom: 392
Space-group type: P2/m, No. 10

***

Here is an optimized crystal structure of MgMnPb3 from Alexandria via LeMat-Bulk. Energies are from GGA-PBE.

The structure in POSCAR format:
```
MgMnPb3
1.0
-5.068 -1.085 -0.207
0.858 -4.479 2.471
-0.696 2.380 4.556
Pb Mg Mn
3 1 1
Direct
0.000 0.500 0.000
0.000 0.000 0.500
0.500 0.000 0.000
0.500 0.500 0.500
0.000 0.000 0.000
```

Energy relative to the elements in kcal/mol of atoms: 9.19
ΔE to the lowest computed polymorph in meV/atom: 0
Space-group type: Pm-3m, No. 221

***

Here is an optimized crystal structure of SrTeN2 from Alexandria via LeMat-Bulk. Energies are from GGA-PBE.

The structure in POSCAR format:
```
SrTeN2
1.0
2.014 0.000 7.179
-1.007 1.744 7.179
-1.007 -1.744 7.179
Sr Te N
1 1 2
Direct
0.000 0.000 0.000
0.500 0.500 0.500
0.885 0.885 0.885
0.115 0.115 0.115
```

Raw formation energy in meV per atom: 831
Space-group type: R-3m, No. 166